No. 1
YSi2Mo2 | GGA-PBEsol | optimized geometry

Values from the calculation:
ΔE_f (raw)   -17.3 kJ/mol of atoms
Total DFT energy (no corrections)   -8.550 eV per atom
Total magnetization   0.00 μB per formula unit

```
data_YSi2Mo2
_chemical_formula_sum 'Y2 Si4 Mo4'
_cell_length_a 4.538
_cell_length_b 4.538
_cell_length_c 8.800
_cell_angle_alpha 90.00
_cell_angle_beta 90.00
_cell_angle_gamma 90.00
_space_group_name_H-M_alt 'I 4/m m m'
_space_group_IT_number 139
_space_group_name_Hall '-I 4 2'
loop_
_atom_site_label
_atom_site_type_symbol
_atom_site_fract_x
_atom_site_fract_y
_atom_site_fract_z
Y1 Y 0.000 0.000 0.000
Si1 Si 0.000 0.500 0.250
Mo1 Mo 0.000 0.000 0.373
```

=====

No. 2
NaGa2WCl | GGA-PBEsol | optimized geometry

Values from the calculation:
ΔE_f (raw)   73.4 kJ/mol of atoms
Total DFT energy (no corrections)   -4.018 eV per atom
Total magnetization   2.68 μB per formula unit

```
data_NaGa2WCl
_chemical_formula_sum 'Na1 Ga2 W1 Cl1'
_cell_length_a 4.880
_cell_length_b 4.880
_cell_length_c 6.266
_cell_angle_alpha 90.00
_cell_angle_beta 90.00
_cell_angle_gamma 90.00
_space_group_name_H-M_alt 'P 4/m m m'
_space_group_IT_number 123
_space_group_name_Hall '-P 4 2'
loop_
_atom_site_label
_atom_site_type_symbol
_atom_site_fract_x
_atom_site_fract_y
_atom_site_fract_z
Na1 Na 0.000 0.000 0.000
Ga1 Ga 0.000 0.500 0.500
W1 W 0.000 0.000 0.500
Cl1 Cl 0.500 0.500 0.000
```

=====

No. 3
Zn5Mo | GGA-PBEsol | optimized geometry

Values from the calculation:
DFT formation energy   0.013 eV/atom
Excess energy over the best structure of this formula in the dataset   0.000 eV/atom
Total DFT energy (no corrections)   -3.267 eV per atom
Total magnetization   0.00 μB per formula unit

```
data_Zn5Mo
_chemical_formula_sum 'Zn10 Mo2'
_cell_length_a 3.758
_cell_length_b 11.511
_cell_length_c 3.840
_cell_angle_alpha 90.00
_cell_angle_beta 90.00
_cell_angle_gamma 90.00
_space_group_name_H-M_alt 'C m m m'
_space_group_IT_number 65
_space_group_name_Hall '-C 2 2'
loop_
_atom_site_label
_atom_site_type_symbol
_atom_site_fract_x
_atom_site_fract_y
_atom_site_fract_z
Zn1 Zn 0.000 0.000 0.000
Zn2 Zn 0.000 0.171 0.500
Zn3 Zn 0.000 0.335 0.000
Mo1 Mo 0.000 0.500 0.500
```

=====

No. 4
LaCoBI2 | GGA-PBEsol | optimized geometry

Values from the calculation:
ΔE_f (raw)   115.2 kJ/mol of atoms
Total DFT energy (no corrections)   -3.533 eV per atom
Total magnetization   0.65 μB per formula unit

```
data_LaCoBI2
_chemical_formula_sum 'La1 Co1 B1 I2'
_cell_length_a 6.154
_cell_length_b 6.154
_cell_length_c 4.795
_cell_angle_alpha 90.00
_cell_angle_beta 90.00
_cell_angle_gamma 90.00
_space_group_name_H-M_alt 'P 4/m m m'
_space_group_IT_number 123
_space_group_name_Hall '-P 4 2'
loop_
_atom_site_label
_atom_site_type_symbol
_atom_site_fract_x
_atom_site_fract_y
_atom_site_fract_z
La1 La 0.000 0.000 0.000
Co1 Co 0.000 0.000 0.500
B1 B 0.500 0.500 0.500
I1 I 0.000 0.500 0.000
```

=====

No. 5
CaCCl2 | GGA-PBEsol | optimized geometry

Values from the calculation:
Excess energy over the best structure of this formula in the dataset   0.000 eV/atom
ΔE_f (raw)   24.0 kJ/mol of atoms
Total DFT energy (no corrections)   -3.700 eV per atom
Total magnetization   2.00 μB per formula unit

```
data_CaCCl2
_chemical_formula_sum 'Ca4 C4 Cl8'
_cell_length_a 4.650
_cell_length_b 4.650
_cell_length_c 16.690
_cell_angle_alpha 90.00
_cell_angle_beta 90.00
_cell_angle_gamma 90.00
_space_group_name_H-M_alt 'I -4 2 d'
_space_group_IT_number 122
_space_group_name_Hall 'I -4 2bw'
loop_
_atom_site_label
_atom_site_type_symbol
_atom_site_fract_x
_atom_site_fract_y
_atom_site_fract_z
Ca1 Ca 0.000 0.000 0.000
C1 C 0.000 0.000 0.500
Cl1 Cl 0.239 0.250 0.625
```

=====

No. 6
CaReNiIr2 | GGA-PBEsol | optimized geometry

Values from the calculation:
DFT formation energy   3.088 eV/atom
Total DFT energy (no corrections)   -5.166 eV per atom
Total magnetization   2.37 μB per formula unit

```
data_CaReNiIr2
_chemical_formula_sum 'Ca1 Re1 Ni1 Ir2'
_cell_length_a 4.578
_cell_length_b 4.578
_cell_length_c 4.551
_cell_angle_alpha 90.00
_cell_angle_beta 90.00
_cell_angle_gamma 90.00
_space_group_name_H-M_alt 'P 4/m m m'
_space_group_IT_number 123
_space_group_name_Hall '-P 4 2'
loop_
_atom_site_label
_atom_site_type_symbol
_atom_site_fract_x
_atom_site_fract_y
_atom_site_fract_z
Ca1 Ca 0.000 0.000 0.000
Re1 Re 0.000 0.000 0.500
Ni1 Ni 0.500 0.500 0.500
Ir1 Ir 0.000 0.500 0.000
```

=====

No. 7
Al2ZnRuAu | GGA-PBEsol | optimized geometry

Values from the calculation:
DFT formation energy   0.978 eV/atom
Total DFT energy (no corrections)   -3.795 eV per atom
Total magnetization   2.28 μB per formula unit

```
data_Al2ZnRuAu
_chemical_formula_sum 'Al2 Zn1 Ru1 Au1'
_cell_length_a 4.620
_cell_length_b 4.620
_cell_length_c 5.114
_cell_angle_alpha 90.00
_cell_angle_beta 90.00
_cell_angle_gamma 90.00
_space_group_name_H-M_alt 'P 4/m m m'
_space_group_IT_number 123
_space_group_name_Hall '-P 4 2'
loop_
_atom_site_label
_atom_site_type_symbol
_atom_site_fract_x
_atom_site_fract_y
_atom_site_fract_z
Al1 Al 0.000 0.500 0.000
Zn1 Zn 0.000 0.000 0.500
Ru1 Ru 0.500 0.500 0.500
Au1 Au 0.500 0.500 0.000
```

=====

No. 8
KAsCl2 | GGA-PBEsol | optimized geometry

Values from the calculation:
ΔE_f (raw)   -54.6 kJ/mol of atoms
Total DFT energy (no corrections)   -3.129 eV per atom
Total magnetization   1.11 μB per formula unit

```
data_KAsCl2
_chemical_formula_sum 'K2 As2 Cl4'
_cell_length_a 3.607
_cell_length_b 4.142
_cell_length_c 13.786
_cell_angle_alpha 90.00
_cell_angle_beta 90.00
_cell_angle_gamma 90.00
_space_group_name_H-M_alt 'I m m 2'
_space_group_IT_number 44
loop_
_space_group_symop_operation_xyz
'x,y,z'
'-x,-y,z'
'-x,y,z'
'x,-y,z'
'x+1/2,y+1/2,z+1/2'
'-x+1/2,-y+1/2,z+1/2'
'-x+1/2,y+1/2,z+1/2'
'x+1/2,-y+1/2,z+1/2'
loop_
_atom_site_label
_atom_site_type_symbol
_atom_site_fract_x
_atom_site_fract_y
_atom_site_fract_z
K1 K 0.000 0.000 0.000
As1 As 0.000 0.500 0.728
Cl1 Cl 0.000 0.000 0.418
Cl2 Cl 0.000 0.500 0.204
```